[1]
Material: Pu3GePb
Method: DFT, PBE
State: relaxed

Output
For the formation energy, the calculation gives -0.150 eV per atom. For the density of states at the Fermi level, the calculation gives 54.689 states/eV/cell.

Cell lengths 7.3046, 7.3046, 7.3046 Å; angles 90.00, 90.00, 90.00 degrees
Space group Pm-3m (No. 221)
Symmetry-distinct sites (fractional):
Pu: 0.0000 0.0000 0.0000 x1
Pu: 0.2787 0.2787 0.2787 x8
Ge: 0.0000 0.5000 0.5000 x3
Pb: 0.0000 0.0000 0.5000 x3

[2]
Material: Pu6Ge2Pb
Method: DFT, PBE
State: relaxed

Output
For the formation energy, the calculation gives -0.044 eV per atom. For the density of states at the Fermi level, the calculation gives 27.131 states/eV/cell.

Cell lengths 8.8177, 8.8177, 3.2593 Å; angles 90.00, 90.00, 120.00 degrees
Space group P6/mmm (No. 191)
Symmetry-distinct sites (fractional):
Pu: 0.0000 0.3401 0.0000 x6
Ge: 0.3333 0.6667 0.5000 x2
Pb: 0.0000 0.0000 0.5000 x1

[3]
Material: Pu4GePb
Method: DFT, PBE
State: relaxed

Output
For the formation energy, the calculation gives -0.024 eV per atom. For the density of states at the Fermi level, the calculation gives 36.918 states/eV/cell.

Cell lengths 5.0621, 6.6224, 9.0031 Å; angles 90.00, 90.00, 90.00 degrees
Space group Immm (No. 71)
Symmetry-distinct sites (fractional):
Pu: 0.0000 0.2420 0.1645 x8
Ge: 0.0000 0.5000 0.5000 x2
Pb: 0.0000 0.0000 0.5000 x2

[4]
Material: PuGePb
Method: DFT, PBE
State: relaxed

Output
For the formation energy, the calculation gives -0.196 eV per atom. For the density of states at the Fermi level, the calculation gives 35.209 states/eV/cell. For the excess energy over the best structure of this formula in the dataset, the calculation gives 0 meV per atom.

Cell lengths 3.5864, 19.4905, 4.3706 Å; angles 90.00, 90.00, 90.00 degrees
Space group Cmcm (No. 63)
Symmetry-distinct sites (fractional):
Pu: 0.0000 0.0946 0.2500 x4
Ge: 0.0000 0.4617 0.2500 x4
Pb: 0.0000 0.2959 0.2500 x4

[5]
Material: PuGe4Pb
Method: DFT, PBE
State: relaxed

Output
For the formation energy, the calculation gives -0.034 eV per atom. For the density of states at the Fermi level, the calculation gives 37.994 states/eV/cell.

Cell lengths 8.0249, 8.0249, 8.0249 Å; angles 90.00, 90.00, 90.00 degrees
Space group F-43m (No. 216)
Symmetry-distinct sites (fractional):
Pu: 0.0000 0.0000 0.0000 x4
Ge: 0.1255 0.1255 0.6255 x16
Pb: 0.2500 0.2500 0.2500 x4

[6]
Material: Pu3Ge2Pb
Method: DFT, PBE
State: relaxed

Output
For the formation energy, the calculation gives -0.310 eV per atom. For the density of states at the Fermi level, the calculation gives 22.599 states/eV/cell.

Cell lengths 3.8468, 3.8468, 9.4879 Å; angles 90.00, 90.00, 90.00 degrees
Space group P4/mmm (No. 123)
Symmetry-distinct sites (fractional):
Pu: 0.0000 0.0000 0.0000 x1
Pu: 0.0000 0.0000 0.2887 x2
Ge: 0.5000 0.5000 0.1444 x2
Pb: 0.5000 0.5000 0.5000 x1

[7]
Material: TbPuGePb
Method: DFT, PBE
State: relaxed

Output
For the formation energy, the calculation gives -0.301 eV per atom. For the density of states at the Fermi level, the calculation gives 40.852 states/eV/cell.

Cell lengths 7.4539, 7.4539, 7.4539 Å; angles 90.00, 90.00, 90.00 degrees
Space group F-43m (No. 216)
Symmetry-distinct sites (fractional):
Tb: 0.0000 0.0000 0.0000 x4
Pu: 0.0000 0.0000 0.5000 x4
Ge: 0.2500 0.2500 0.7500 x4
Pb: 0.2500 0.2500 0.2500 x4

[8]
Material: TmPuGePb
Method: DFT, PBE
State: relaxed

Output
For the formation energy, the calculation gives -0.283 eV per atom. For the density of states at the Fermi level, the calculation gives 38.567 states/eV/cell.

Cell lengths 7.3960, 7.3960, 7.3960 Å; angles 90.00, 90.00, 90.00 degrees
Space group F-43m (No. 216)
Symmetry-distinct sites (fractional):
Tm: 0.0000 0.0000 0.0000 x4
Pu: 0.0000 0.0000 0.5000 x4
Ge: 0.2500 0.2500 0.7500 x4
Pb: 0.2500 0.2500 0.2500 x4

[9]
Material: RbGePb2
Method: DFT, PBE
State: relaxed

Output
For the formation energy, the calculation gives 0.040 eV per atom. For the density of states at the Fermi level, the calculation gives 8.691 states/eV/cell.

Cell lengths 5.0159, 5.0159, 20.5388 Å; angles 90.00, 90.00, 120.00 degrees
Space group R-3m (No. 166, hexagonal axes)
Symmetry-distinct sites (fractional):
Rb: 0.0000 0.0000 0.0000 x3
Ge: 0.0000 0.0000 0.5000 x3
Pb: 0.0000 0.0000 0.2117 x6

[10]
Material: RbGe2Pb2
Method: DFT, PBE
State: relaxed

Output
For the formation energy, the calculation gives 0.035 eV per atom. For the density of states at the Fermi level, the calculation gives 4.220 states/eV/cell. For the excess energy over the best structure of this formula in the dataset, the calculation gives 49 meV per atom.

Cell lengths 8.9391, 8.9391, 4.0913 Å; angles 90.00, 90.00, 90.00 degrees
Space group P4/mbm (No. 127)
Symmetry-distinct sites (fractional):
Rb: 0.0000 0.0000 0.0000 x2
Ge: 0.1070 0.3930 0.0000 x4
Pb: 0.1401 0.6401 0.5000 x4

[11]
Material: RbGePb2
Method: DFT, PBE
State: relaxed

Output
For the formation energy, the calculation gives 0.165 eV per atom. For the density of states at the Fermi level, the calculation gives 5.967 states/eV/cell.

Cell lengths 5.9506, 5.9506, 19.3267 Å; angles 90.00, 90.00, 90.00 degrees
Space group I-42d (No. 122)
Symmetry-distinct sites (fractional):
Rb: 0.0000 0.0000 0.0000 x4
Ge: 0.0000 0.0000 0.5000 x4
Pb: 0.0987 0.2500 0.6250 x8

[12]
Material: Rb3GePb
Method: DFT, PBE
State: relaxed

Output
For the formation energy, the calculation gives 0.414 eV per atom. For the density of states at the Fermi level, the calculation gives 7.421 states/eV/cell. For the excess energy over the best structure of this formula in the dataset, the calculation gives 532 meV per atom.

Cell lengths 6.7164, 6.7164, 6.7164 Å; angles 90.00, 90.00, 90.00 degrees
Space group Pm-3m (No. 221)
Symmetry-distinct sites (fractional):
Rb: 0.0000 0.0000 0.5000 x3
Ge: 0.0000 0.0000 0.0000 x1
Pb: 0.5000 0.5000 0.5000 x1

- Number 9 is which compound?
  RbGePb2